# CoP2BrO

CoP2BrO after structural relaxation (PBE+U, the Alexandria database).

Structure (POSCAR):
```
CoP2BrO
1.0
4.7031 0.0000 0.0000
0.0000 4.7031 0.0000
0.0000 0.0000 3.5219
P Co O Br
2 1 1 1
direct
0.0000 0.5000 0.0000
0.5000 0.0000 0.0000
0.0000 0.0000 0.0000
0.0000 0.0000 0.5000
0.5000 0.5000 0.5000
```

Output
symmetry: P4/mmm (123)
density: 4.6 g/cm³
E above lowest polymorph: 0 meV per atom

---

# CoP2BrO

CoP2BrO after structural relaxation (PBE+U, the Alexandria database).

Structure (POSCAR):
```
CoP2BrO
1.0
-0.2786 -1.2399 4.7921
-1.2222 -4.6338 -1.2700
3.5273 -0.9212 -0.0333
P Co O Br
2 1 1 1
direct
0.0000 0.5000 0.0000
0.5000 0.0000 0.0000
0.5000 0.5000 0.5000
0.0000 0.0000 0.5000
0.0000 0.0000 0.0000
```

Output
symmetry: P4/mmm (123)
density: 4.0 g/cm³
E above lowest polymorph: 885 meV per atom

---

# CoPBrO2

CoPBrO2 after structural relaxation (PBE+U, the Alexandria database).

Structure (POSCAR):
```
CoPBrO2
1.0
3.6586 0.0000 0.0000
0.0000 3.6586 0.0000
0.0000 0.0000 5.2727
P Co O Br
1 1 2 1
direct
0.0000 0.0000 0.5000
0.0000 0.0000 0.0000
0.0000 0.5000 0.0000
0.5000 0.0000 0.0000
0.5000 0.5000 0.5000
```

Output
symmetry: P4/mmm (123)
density: 4.7 g/cm³
E above lowest polymorph: 0 meV per atom

---

# Rb2CoBr6O

Rb2CoBr6O after structural relaxation (PBE+U, the Alexandria database).

Structure (POSCAR):
```
Rb2CoBr6O
1.0
-2.7513 5.0595 3.9510
-6.3467 -2.7891 -0.8479
-3.7398 -2.1605 6.3354
O Co Br Rb
1 1 6 2
direct
0.5000 0.5000 0.0000
0.0000 0.0000 0.0000
0.2059 0.2059 0.5882
0.7941 0.7941 0.4118
0.2617 0.2617 0.0000
0.7383 0.7383 0.0000
0.7383 0.2617 0.0000
0.2617 0.7383 0.0000
0.7500 0.2500 0.5000
0.2500 0.7500 0.5000
```

Output
symmetry: I4/mmm (139)
E_tot: -0.1025 hartree per atom
density: 4.2 g/cm³

---

# RbCoBr3O6

RbCoBr3O6 after structural relaxation (PBE+U, the Alexandria database).

Structure (POSCAR):
```
RbCoBr3O6
1.0
5.0375 3.4920 -0.4659
-5.0375 3.4920 -0.4659
0.0000 1.0570 12.1755
Rb Co Br O
2 2 6 12
direct
0.5346 0.4654 0.7500
0.4654 0.5346 0.2500
0.0000 0.5000 0.0000
0.5000 0.0000 0.5000
0.5000 0.0000 0.0000
0.0000 0.5000 0.5000
0.0314 0.0115 0.8860
0.9686 0.9885 0.1140
0.9885 0.9686 0.6140
0.0115 0.0314 0.3860
0.9640 0.6806 0.8868
0.0360 0.3194 0.1132
0.3194 0.0360 0.6132
0.6806 0.9640 0.3868
0.1265 0.3364 0.9012
0.8735 0.6636 0.0988
0.6636 0.8735 0.5988
0.3364 0.1265 0.4012
0.7007 0.3062 0.5416
0.2993 0.6938 0.4584
0.6938 0.2993 0.9584
0.3062 0.7007 0.0416
```

Output
symmetry: C2/c (15)
E_tot: -0.1431 hartree per atom
density: 3.7 g/cm³

---

# CoSb2Br2O3

CoSb2Br2O3 after structural relaxation (PBE+U, the Alexandria database).

Structure (POSCAR):
```
CoSb2Br2O3
1.0
5.2983 0.0133 0.0060
1.0643 8.1239 0.3639
1.1256 0.6357 8.5227
Co Sb Br O
2 4 4 6
direct
0.5227 0.2900 0.4914
0.4773 0.7100 0.5086
0.0921 0.0537 0.3162
0.9079 0.9463 0.6838
0.0578 0.4948 0.3065
0.9422 0.5052 0.6935
0.6369 0.8080 0.2259
0.3631 0.1920 0.7741
0.7538 0.3352 0.1443
0.2462 0.6648 0.8557
0.2164 0.9117 0.5158
0.7836 0.0883 0.4842
0.7736 0.7414 0.6295
0.2264 0.2586 0.3705
0.7639 0.4698 0.4865
0.2361 0.5302 0.5135
```

Output
symmetry: P-1 (2)
E_tot: -0.1850 hartree per atom
density: 4.6 g/cm³

---

# Co5Se4Br2O12

Co5Se4Br2O12 after structural relaxation (PBE+U, the Alexandria database).

Structure (POSCAR):
```
Co5Se4Br2O12
1.0
6.5722 -0.0053 0.0149
1.1851 7.8020 0.0102
2.2554 2.9125 7.0605
Co Se Br O
5 4 2 12
direct
0.0000 0.0000 0.0000
0.3230 0.8740 0.6529
0.6770 0.1260 0.3471
0.1171 0.6956 0.4311
0.8829 0.3044 0.5689
0.7924 0.8363 0.7761
0.2076 0.1637 0.2239
0.6525 0.6943 0.3212
0.3475 0.3057 0.6788
0.8060 0.3324 0.9783
0.1940 0.6676 0.0217
0.7369 0.9208 0.2217
0.2631 0.0792 0.7783
0.6417 0.9016 0.6125
0.3583 0.0984 0.3875
0.8316 0.5882 0.4631
0.1684 0.4118 0.5369
0.0394 0.8033 0.6352
0.9606 0.1967 0.3648
0.4183 0.7005 0.4888
0.5817 0.2995 0.5112
0.1623 0.9566 0.2106
0.8377 0.0434 0.7894
```

Output
symmetry: P-1 (2)
E_tot: -0.1964 hartree per atom
density: 4.4 g/cm³

---

# CoSeBr2O

CoSeBr2O after structural relaxation (PBE+U, the Alexandria database).

Structure (POSCAR):
```
CoSeBr2O
1.0
-2.0051 -2.1588 3.8166
3.0892 -3.6739 -0.4551
2.9236 2.1195 2.7348
O Co Se Br
1 1 1 2
direct
0.5000 0.5000 0.5000
0.0000 0.0000 0.0000
0.0000 0.0000 0.5000
0.0000 0.5000 0.0000
0.5000 0.0000 0.0000
```

Output
symmetry: P4/mmm (123)
density: 4.9 g/cm³
E above lowest polymorph: 285 meV per atom

---

# CoSeBr2O

CoSeBr2O after structural relaxation (PBE+U, the Alexandria database).

Structure (POSCAR):
```
CoSeBr2O
1.0
-1.8515 3.3260 2.9654
1.9121 -2.3076 3.7819
3.6287 2.3677 -0.3900
O Co Se Br
1 1 1 2
direct
0.0000 0.0000 0.0000
0.5000 0.5000 0.5000
0.0000 0.0000 0.5000
0.0000 0.5000 0.0000
0.5000 0.0000 0.0000
```

Output
symmetry: P4/mmm (123)
density: 5.1 g/cm³
E above lowest polymorph: 0 meV per atom

---

# Sr2CoBr2O2

Sr2CoBr2O2 after structural relaxation (PBE+U, the Alexandria database).

Structure (POSCAR):
```
Sr2CoBr2O2
1.0
4.1057 0.0000 0.0000
0.0000 4.1063 0.0000
-2.0529 -2.0532 8.8520
Sr Co Br O
2 1 2 2
direct
0.4073 0.9073 0.8146
0.5927 0.0927 0.1854
0.0000 0.5000 0.0000
0.1690 0.6690 0.3380
0.8310 0.3310 0.6620
0.5000 0.5000 0.0000
0.0000 0.0000 0.0000
```

Output
symmetry: I4/mmm (139)
E_tot: -0.1879 hartree per atom
density: 4.7 g/cm³

---

# TlCoBrO5

TlCoBrO5 after structural relaxation (PBE+U, the Alexandria database).

Structure (POSCAR):
```
TlCoBrO5
1.0
7.2088 -0.9387 -0.4587
-3.0022 6.6208 -0.4587
-2.3785 -3.2128 6.3285
Tl Co Br O
2 2 2 10
direct
0.0000 0.0000 0.5000
0.0000 0.0000 0.0000
0.2324 0.7676 0.2500
0.7676 0.2324 0.7500
0.7180 0.2820 0.2500
0.2820 0.7180 0.7500
0.0792 0.9208 0.2500
0.9208 0.0792 0.7500
0.9218 0.4091 0.0980
0.0782 0.5909 0.9020
0.5909 0.0782 0.4020
0.4091 0.9218 0.5980
0.8413 0.5750 0.4625
0.1587 0.4250 0.5375
0.4250 0.1587 0.0375
0.5750 0.8413 0.9625
```

Output
symmetry: C2/c (15)
E_tot: -0.1634 hartree per atom
density: 5.4 g/cm³